No. 1
Computed, not measured: a relaxed Pm2CoNi2 crystal at the GGA-PBE level of DFT.

The structure in POSCAR format:
```
Pm2CoNi2
1.0
-3.298 3.919 0.773
-4.074 -0.933 3.061
2.625 2.840 6.912
Pm Co Ni
4 2 4
direct
0.463 0.229 0.155 Pm
0.771 0.537 0.345 Pm
0.537 0.771 0.845 Pm
0.229 0.463 0.655 Pm
0.135 0.865 0.250 Co
0.865 0.135 0.750 Co
0.761 0.999 0.500 Ni
0.001 0.239 0.000 Ni
0.239 0.001 0.500 Ni
0.999 0.761 0.000 Ni
```

Values from the calculation:
Symmetry: C2/c
DFT formation energy: -1.08 eV per formula unit
Offset from the most stable computed form: 0.024 eV per atom

=====

No. 2
Computed, not measured: a relaxed PmPuCoNi crystal at the GGA-PBE level of DFT.

The structure in POSCAR format:
```
PmPuCoNi
1.0
4.800 0.000 0.000
2.400 4.157 0.000
2.400 1.386 3.919
Ni Pm Co Pu
1 1 1 1
direct
0.000 0.000 0.000 Ni
0.750 0.750 0.750 Pm
0.500 0.500 0.500 Co
0.250 0.250 0.250 Pu
```

Values from the calculation:
Symmetry: F-43m
DFT formation energy: -0.04 eV per formula unit

=====

No. 3
Computed, not measured: a relaxed PmCoNiSb crystal at the GGA-PBE level of DFT.

The structure in POSCAR format:
```
PmCoNiSb
1.0
-3.795 1.604 -2.147
-3.772 1.115 2.473
-1.232 4.454 0.477
Sb Co Ni Pm
1 1 1 1
direct
0.000 0.000 0.000 Sb
0.750 0.750 0.750 Co
0.250 0.250 0.250 Ni
0.500 0.500 0.500 Pm
```

Values from the calculation:
Symmetry: F-43m
ΔE_f (raw): -261 meV/atom

=====

No. 4
Computed, not measured: a relaxed Pm2CoSi3Ni12 crystal at the GGA-PBE level of DFT.

The structure in POSCAR format:
```
Pm2CoSi3Ni12
1.0
-3.334 2.297 -7.907
-4.568 -3.551 -6.741
-7.845 0.840 -4.083
Pm Co Si Ni
2 1 3 12
direct
0.652 0.652 0.652 Pm
0.348 0.348 0.348 Pm
0.000 0.000 0.000 Co
0.500 0.000 0.000 Si
0.000 0.500 0.000 Si
0.000 0.000 0.500 Si
0.410 0.410 0.813 Ni
0.934 0.934 0.349 Ni
0.349 0.934 0.934 Ni
0.813 0.410 0.410 Ni
0.934 0.349 0.934 Ni
0.410 0.813 0.410 Ni
0.590 0.590 0.187 Ni
0.066 0.066 0.651 Ni
0.651 0.066 0.066 Ni
0.187 0.590 0.590 Ni
0.066 0.651 0.066 Ni
0.590 0.187 0.590 Ni
```

Values from the calculation:
Symmetry: R-3m
ΔE_f (raw): -62 meV/atom

=====

No. 5
Computed, not measured: a relaxed PmCoSi3Ni crystal at the GGA-PBE level of DFT.

The structure in POSCAR format:
```
PmCoSi3Ni
1.0
-2.819 4.894 0.114
-3.633 -1.992 -4.318
-1.906 -1.245 6.325
Pm Co Si Ni
2 2 6 2
direct
0.750 0.235 0.470 Pm
0.250 0.765 0.530 Pm
0.250 0.043 0.086 Co
0.750 0.957 0.914 Co
0.250 0.217 0.435 Si
0.000 0.287 0.000 Si
0.500 0.713 0.000 Si
0.500 0.287 0.000 Si
0.000 0.713 0.000 Si
0.750 0.783 0.565 Si
0.250 0.393 0.787 Ni
0.750 0.607 0.213 Ni
```

Values from the calculation:
Symmetry: Cmcm
ΔE_f (raw): -420 meV/atom

=====

No. 6
Computed, not measured: a relaxed PmThCoNi crystal at the GGA-PBE level of DFT.

The structure in POSCAR format:
```
PmThCoNi
1.0
4.899 0.000 0.000
2.450 4.243 0.000
2.450 1.414 4.000
Ni Co Th Pm
1 1 1 1
direct
0.250 0.250 0.250 Ni
0.750 0.750 0.750 Co
0.000 0.000 0.000 Th
0.500 0.500 0.500 Pm
```

Values from the calculation:
Symmetry: F-43m
DFT formation energy: -0.61 eV per formula unit
Offset from the most stable computed form: 0.171 eV per atom

=====

No. 7
Computed, not measured: a relaxed PmThCoNi crystal at the GGA-PBE level of DFT.

The structure in POSCAR format:
```
PmThCoNi
1.0
3.734 0.000 0.000
0.000 4.033 0.000
-1.867 0.000 5.604
Pm Th Co Ni
1 1 1 1
direct
0.142 0.000 0.285 Pm
0.873 0.500 0.745 Th
0.410 0.000 0.820 Co
0.575 0.500 0.150 Ni
```

Values from the calculation:
Symmetry: Amm2
DFT formation energy: -1.30 eV per formula unit
Offset from the most stable computed form: 0.000 eV per atom

=====

No. 8
Computed, not measured: a relaxed PmTmCoNi crystal at the GGA-PBE level of DFT.

The structure in POSCAR format:
```
PmTmCoNi
1.0
-3.956 -1.593 -2.156
-3.376 -2.229 2.544
-4.192 2.148 0.808
Ni Tm Co Pm
1 1 1 1
direct
0.250 0.250 0.250 Ni
0.000 0.000 0.000 Tm
0.750 0.750 0.750 Co
0.500 0.500 0.500 Pm
```

Values from the calculation:
Symmetry: F-43m
DFT formation energy: -0.84 eV per formula unit

=====

No. 9
Computed, not measured: a relaxed PmYCoNi crystal at the GGA-PBE level of DFT.

The structure in POSCAR format:
```
PmYCoNi
1.0
-0.158 -2.917 -2.612
2.618 -2.073 2.157
-3.923 -0.763 4.028
Pm Y Co Ni
1 1 1 1
direct
0.748 0.500 0.496 Pm
0.031 0.000 0.063 Y
0.462 0.500 0.923 Co
0.328 0.000 0.657 Ni
```

Values from the calculation:
Symmetry: Amm2
DFT formation energy: -0.98 eV per formula unit
Offset from the most stable computed form: 0.000 eV per atom

=====

No. 10
Computed, not measured: a relaxed PmYCoNi crystal at the GGA-PBE level of DFT.

The structure in POSCAR format:
```
PmYCoNi
1.0
-1.181 -4.362 -1.684
-0.222 -3.766 3.005
-4.270 -1.942 1.120
Y Ni Co Pm
1 1 1 1
direct
0.750 0.750 0.750 Y
0.000 0.000 0.000 Ni
0.500 0.500 0.500 Co
0.250 0.250 0.250 Pm
```

Values from the calculation:
Symmetry: F-43m
DFT formation energy: -0.68 eV per formula unit
Offset from the most stable computed form: 0.077 eV per atom

=====

No. 11
Computed, not measured: a relaxed PmZnCoNi crystal at the GGA-PBE level of DFT.

The structure in POSCAR format:
```
PmZnCoNi
1.0
4.505 0.000 0.000
2.253 3.902 0.000
2.253 1.301 3.678
Ni Zn Co Pm
1 1 1 1
direct
0.250 0.250 0.250 Ni
0.500 0.500 0.500 Zn
0.750 0.750 0.750 Co
0.000 0.000 0.000 Pm
```

Values from the calculation:
Symmetry: F-43m
DFT formation energy: -0.16 eV per formula unit

=====

No. 12
Computed, not measured: a relaxed Pm2Zn2CoNi5 crystal at the GGA-PBE level of DFT.

The structure in POSCAR format:
```
Pm2Zn2CoNi5
1.0
-0.260 2.345 -2.633
-9.304 -1.033 0.001
-0.769 6.929 6.248
Pm Zn Co Ni
4 4 2 10
direct
0.000 0.680 0.180 Pm
0.000 0.320 0.820 Pm
0.000 0.180 0.320 Pm
0.000 0.820 0.680 Pm
0.000 0.119 0.619 Zn
0.000 0.881 0.381 Zn
0.000 0.619 0.881 Zn
0.000 0.381 0.119 Zn
0.000 0.000 0.000 Co
0.000 0.500 0.500 Co
0.500 0.191 0.052 Ni
0.500 0.809 0.948 Ni
0.500 0.052 0.809 Ni
0.500 0.691 0.448 Ni
0.500 0.948 0.191 Ni
0.500 0.309 0.552 Ni
0.500 0.552 0.691 Ni
0.500 0.448 0.309 Ni
0.500 0.500 0.000 Ni
0.500 0.000 0.500 Ni
```

Values from the calculation:
Symmetry: P4/mbm
DFT formation energy: -0.74 eV per formula unit

=====

E values, unit eV per cell, following the record order: -58.5, -32.0, -22.8, -103.4, -72.9, -25.7, -26.4, -22.9, -25.1, -24.8, -19.1, -97.6.
Size of the total moment values, unit μB/cell, following the record order: 1.03, 4.85, 1.24, 2.89, 0.00, 0.00, 0.00, 0.18, 0.00, 0.23, 0.00, 4.06.